(1)
First-principles (PBE) data for NaAc2Tl9 after structural relaxation, as listed in Alexandria.

- Space-group type: P4/mmm, No. 123
- M_tot: 0.000 μB/atom

a b c (Å): 4.977 4.977 14.759
angles (deg): 90.00 90.00 90.00
Sites, in units of the cell vectors:
Tl 0.000 0.500 0.843
Tl 0.000 0.500 0.500
Tl 0.500 0.000 0.500
Tl 0.500 0.500 0.334
Tl 0.500 0.000 0.157
Tl 0.500 0.000 0.843
Tl 0.500 0.500 0.000
Tl 0.500 0.500 0.666
Ac 0.000 0.000 0.672
Na 0.000 0.000 0.000
Ac 0.000 0.000 0.328
Tl 0.000 0.500 0.157



(2)
First-principles (PBE) data for Ba10SrCa4 after structural relaxation, as listed in Alexandria.

- Space-group type: I4/m, No. 87
- M_tot: 0.000 μB/atom

a b c (Å): 12.028 10.379 10.379
angles (deg): 70.38 54.59 54.59
Sites, in units of the cell vectors:
Ba 0.750 0.500 0.500
Ca 0.930 0.393 0.747
Ba 0.444 0.681 0.098
Ba 0.125 0.098 0.319
Ba 0.875 0.902 0.681
Ca 0.323 0.747 0.607
Ba 0.556 0.319 0.902
Ba 0.541 0.902 0.681
Ba 0.250 0.500 0.500
Ca 0.070 0.607 0.253
Sr 0.000 0.000 0.000
Ca 0.677 0.253 0.393
Ba 0.223 0.319 0.902
Ba 0.459 0.098 0.319
Ba 0.777 0.681 0.098



Calculated formation energy, -0.215; 0.238 eV/atom (same order as the records).